# 1
A geometry-optimized Na2PuNpSe4 structure. Source: Alexandria via LeMat-Bulk, functional PBE-GGA.

```
Na2PuNpSe4
1.0
4.202 0.000 0.000
0.000 7.280 0.126
0.000 -2.542 6.897
Np Se Pu Na
1 4 1 2
Direct
0.000 0.000 0.000
0.500 0.241 0.230
0.500 0.759 0.770
0.000 0.254 0.770
0.000 0.746 0.230
0.500 0.500 0.000
0.000 0.500 0.500
0.500 0.000 0.500
```

Computed properties:
The value obtained for the electronic total energy is -0.500 Ry per atom. Its space-group type is No. 10.

***

# 2
A geometry-optimized Y4PdRh2 structure. Source: Alexandria via LeMat-Bulk, functional PBE-GGA.

```
Y4PdRh2
1.0
-4.066 -0.575 2.611
-3.930 -2.026 -2.032
-0.162 -8.046 2.511
Y Rh Pd
4 2 1
Direct
0.127 0.127 0.620
0.873 0.873 0.380
0.377 0.377 0.869
0.623 0.623 0.131
0.749 0.749 0.752
0.251 0.251 0.248
0.000 0.000 0.000
```

Computed properties:
For the energy of formation, the calculation gives -5.294 eV/f.u. Its space-group type is No. 166. As for the energy relative to the lowest polymorph listed for this composition: 0 meV per atom.

***

# 3
A geometry-optimized DyScCu structure. Source: Alexandria via LeMat-Bulk, functional PBE-GGA.

```
DyScCu
1.0
-3.112 -0.686 -1.069
1.114 -0.115 -3.169
2.074 -5.387 2.706
Sc Dy Cu
1 1 1
Direct
0.301 0.301 0.602
0.020 0.020 0.040
0.679 0.679 0.358
```

Computed properties:
For the energy of formation, the calculation gives -0.372 eV/f.u. Its space-group type is No. 107. As for the energy relative to the lowest polymorph listed for this composition: 25 meV per atom.